(1)
Ba2PtBr | SCAN | single point on PBEsol structure

Cell lengths 5.084, 4.082, 12.081 Å; angles 90.00, 90.00, 90.00 degrees
Space group Amm2 (No. 38)
Asymmetric unit:
Ba (0.000, 0.000, 0.000) x2
Ba (0.500, 0.000, 0.244) x2
Pt (0.000, 0.000, 0.736) x2
Br (0.500, 0.000, 0.509) x2

* calculated total energy: -43.441 eV/atom
* calculated density: 7.28 g cm⁻³
* density of states at the Fermi level: 6.07 states/eV/cell
* energy relative to the elements, uncorrected: -1.2530 eV/atom
* excess energy over the best structure of this formula in the dataset: 200 meV/atom


(2)
Si2AgRh | SCAN | single point on PBEsol structure

Cell lengths 2.716, 3.810, 11.908 Å; angles 90.00, 90.00, 90.00 degrees
Space group Imm2 (No. 44)
Asymmetric unit:
Si (0.000, 0.000, 0.000) x2
Si (0.000, 0.500, 0.224) x2
Ag (0.000, 0.500, 0.833) x2
Rh (0.000, 0.000, 0.553) x2

* calculated total energy: -21.440 eV/atom
* calculated density: 7.19 g cm⁻³
* density of states at the Fermi level: 2.32 states/eV/cell
* energy relative to the elements, uncorrected: -0.1479 eV/atom
* excess energy over the best structure of this formula in the dataset: 0 meV/atom


(3)
SrO | SCAN | single point on PBEsol structure

Cell lengths 4.2473, 4.2473, 5.1154 Å; angles 90.00, 90.00, 120.00 degrees
Space group P6_3/mmc (No. 194)
Asymmetric unit:
Sr (0.3333, 0.6667, 0.2500) x2
O (0.3333, 0.6667, 0.7500) x2

* calculated total energy: -17.171 eV/atom
* calculated density: 4.31 g cm⁻³
* density of states at the Fermi level: 0.00 states/eV/cell
* energy relative to the elements, uncorrected: -2.9182 eV/atom


Number 1 is which compound? Ba2PtBr